w.
DFT (PBE) results for crystalline Nd4AgPt at its relaxed geometry.

Values from the calculation:
**Symmetry**: F-43m, No. 216
**N(E_F)**: 23.7 states/eV per cell

Lattice parameters (Å, degrees): 9.9262 9.9262 9.9262 60.00 60.00 60.00
Sites, in units of the cell vectors:
Nd: 0.1860 0.1860 0.8140
Nd: 0.1860 0.8140 0.1860
Nd: 0.1860 0.8140 0.8140
Nd: 0.3953 0.3953 0.3953
Nd: 0.3953 0.3953 0.8142
Nd: 0.3953 0.8142 0.3953
Nd: 0.5593 0.5593 0.9407
Nd: 0.5593 0.9407 0.5593
Nd: 0.5593 0.9407 0.9407
Nd: 0.8140 0.1860 0.1860
Nd: 0.8140 0.1860 0.8140
Nd: 0.8142 0.3953 0.3953
Nd: 0.8140 0.8140 0.1860
Nd: 0.9407 0.5593 0.5593
Nd: 0.9407 0.5593 0.9407
Nd: 0.9407 0.9407 0.5593
Ag: 0.1674 0.1674 0.1674
Ag: 0.1674 0.1674 0.4978
Ag: 0.1674 0.4978 0.1674
Ag: 0.4978 0.1674 0.1674
Pt: 0.1827 0.6058 0.6058
Pt: 0.6058 0.1827 0.6058
Pt: 0.6058 0.6058 0.1827
Pt: 0.6058 0.6058 0.6058

x.
DFT (PBE) results for crystalline Nd4AgPt at its relaxed geometry.

Values from the calculation:
**Symmetry**: I4_1md, No. 109
**N(E_F)**: 18.3 states/eV per cell

Lattice parameters (Å, degrees): 8.2239 8.2239 8.2239 107.23 107.23 114.06
Sites, in units of the cell vectors:
Nd: 0.1954 0.0000 0.1954
Nd: 0.2226 0.5207 0.2982
Nd: 0.2226 0.9244 0.7018
Nd: 0.2707 0.4726 0.7982
Nd: 0.6744 0.4726 0.2018
Nd: 0.7500 0.0546 0.3046
Nd: 0.7500 0.4454 0.6954
Nd: 0.8046 0.0000 0.8046
Ag: 0.4857 0.9857 0.5000
Ag: 0.7357 0.7357 0.0000
Pt: 0.2372 0.2372 0.0000
Pt: 0.9872 0.4872 0.5000

Stability check: which of them is most stable? w.

w.
DFT (PBE) results for crystalline Nd8Ag2Pt at its relaxed geometry.

Values from the calculation:
**Symmetry**: C2/m, No. 12
**N(E_F)**: 11.5 states/eV per cell

Lattice parameters (Å, degrees): 9.5186 9.5186 7.0316 101.02 101.02 32.06
Sites, in units of the cell vectors:
Nd: 0.0250 0.0250 0.2778
Nd: 0.2020 0.2020 0.8291
Nd: 0.3413 0.3413 0.5276
Nd: 0.4111 0.4111 0.0553
Nd: 0.5889 0.5889 0.9447
Nd: 0.6587 0.6587 0.4724
Nd: 0.7980 0.7980 0.1709
Nd: 0.9750 0.9750 0.7222
Ag: 0.1899 0.1899 0.2452
Ag: 0.8101 0.8101 0.7548
Pt: 0.5000 0.5000 0.5000

x.
DFT (PBE) results for crystalline Nd8Ag2Pt at its relaxed geometry.

Values from the calculation:
**Symmetry**: Cm, No. 8
**N(E_F)**: 12.3 states/eV per cell

Lattice parameters (Å, degrees): 9.2447 9.2447 6.3292 102.86 102.86 130.91
Sites, in units of the cell vectors:
Nd: 0.0000 0.0000 0.0000
Nd: 0.1246 0.8913 0.4725
Nd: 0.3310 0.5677 0.1134
Nd: 0.4556 0.4556 0.6429
Nd: 0.5271 0.9156 0.7782
Nd: 0.5677 0.3310 0.1134
Nd: 0.8913 0.1246 0.4725
Nd: 0.9156 0.5271 0.7782
Ag: 0.4475 0.9971 0.2791
Ag: 0.9971 0.4475 0.2791
Pt: 0.7251 0.7251 0.4668

Stability check: which of them is most stable? w.

w.
DFT (PBE) results for crystalline NdYAgPt at its relaxed geometry.

Values from the calculation:
**Symmetry**: F-43m, No. 216
**N(E_F)**: 2.2 states/eV per cell

Lattice parameters (Å, degrees): 5.1170 5.1170 5.1170 60.00 60.00 60.00
Sites, in units of the cell vectors:
Nd: 0.0000 0.0000 0.0000
Y: 0.5000 0.5000 0.5000
Ag: 0.2500 0.2500 0.2500
Pt: 0.7500 0.7500 0.7500

x.
DFT (PBE) results for crystalline NdYAgPt at its relaxed geometry.

Values from the calculation:
**Symmetry**: Amm2, No. 38
**N(E_F)**: 2.7 states/eV per cell

Lattice parameters (Å, degrees): 4.6913 5.7752 5.7752 39.05 90.00 90.00
Sites, in units of the cell vectors:
Nd: 0.0000 0.0000 0.0000
Y: 0.5000 0.7230 0.7230
Ag: 0.5000 0.4411 0.4411
Pt: 0.0000 0.2745 0.2745

Stability check: which of them is most stable? x.

w.
DFT (PBE) results for crystalline Nd2PuAg at its relaxed geometry.

Values from the calculation:
**Symmetry**: R-3m, No. 166
**N(E_F)**: 10.8 states/eV per cell

Lattice parameters (Å, degrees): 11.9485 11.9485 11.9485 16.47 16.47 16.47
Sites, in units of the cell vectors:
Nd: 0.0949 0.0949 0.0949
Nd: 0.9051 0.9051 0.9051
Pu: 0.0000 0.0000 0.0000
Ag: 0.5000 0.5000 0.5000

x.
DFT (PBE) results for crystalline Nd2PuAg at its relaxed geometry.

Values from the calculation:
**Symmetry**: P4/mmm, No. 123
**N(E_F)**: 9.4 states/eV per cell

Lattice parameters (Å, degrees): 3.6434 3.6434 8.6916 90.00 90.00 90.00
Sites, in units of the cell vectors:
Nd: 0.0000 0.0000 0.2241
Nd: 0.0000 0.0000 0.7759
Pu: 0.5000 0.5000 0.5000
Ag: 0.5000 0.5000 0.0000

Stability check: which of them is most stable? x.